No. 1
Entry from Alexandria via LeMat-Bulk: an optimized crystal structure of NpAlZn4Au2 (PBE-GGA).

Computed properties:
Its total energy is -85.33 eV for the cell shown. As for the density of states at the Fermi level: 1.45 states/eV per atom. The value obtained for the formation energy is -14 meV/atom.

The structure in CIF format:
```
data_NpAlZn4Au2
_space_group_name_H-M_alt 'R -3 m'
_space_group_IT_number 166
_space_group_name_Hall '-R 3 2"'
_cell_length_a 4.3761
_cell_length_b 4.3761
_cell_length_c 26.5474
_cell_angle_alpha 90.00
_cell_angle_beta 90.00
_cell_angle_gamma 120.00
loop_
_atom_site_label
_atom_site_fract_x
_atom_site_fract_y
_atom_site_fract_z
Np1 0.0000 0.0000 0.0000
Al1 0.0000 0.0000 0.5000
Zn1 0.0000 0.0000 0.1268
Zn2 0.0000 0.0000 0.3958
Au1 0.0000 0.0000 0.2449
```

=====

No. 2
Entry from Alexandria via LeMat-Bulk: an optimized crystal structure of EuIn2Sn (PBE-GGA).

Computed properties:
Its total energy is -83.21 eV for the cell shown. As for the density of states at the Fermi level: 0.55 states/eV per atom. The value obtained for the relative energy among the computed polymorphs is 0.68 eV/f.u. The value obtained for the formation energy is -262 meV/atom.

The structure in CIF format:
```
data_EuIn2Sn
_space_group_name_H-M_alt 'F m -3 m'
_space_group_IT_number 225
_space_group_name_Hall '-F 4 2 3'
_cell_length_a 7.722
_cell_length_b 7.722
_cell_length_c 7.722
_cell_angle_alpha 90.00
_cell_angle_beta 90.00
_cell_angle_gamma 90.00
loop_
_atom_site_label
_atom_site_fract_x
_atom_site_fract_y
_atom_site_fract_z
Eu1 0.000 0.000 0.000
In1 0.250 0.250 0.250
Sn1 0.000 0.000 0.500
```

=====

No. 3
Entry from Alexandria via LeMat-Bulk: an optimized crystal structure of Cr2MoPt (PBE-GGA).

Computed properties:
Its total energy is -71.56 eV for the cell shown. As for the density of states at the Fermi level: 1.09 states/eV per atom. The value obtained for the formation energy is 85 meV/atom.

The structure in CIF format:
```
data_Cr2MoPt
_space_group_name_H-M_alt 'C 1 2/m 1'
_space_group_IT_number 12
_cell_length_a 8.852
_cell_length_b 2.640
_cell_length_c 4.807
_cell_angle_alpha 90.00
_cell_angle_beta 98.33
_cell_angle_gamma 90.00
loop_
_space_group_symop_operation_xyz
'x,y,z'
'-x,-y,-z'
'-x,y,-z'
'x,-y,z'
'x+1/2,y+1/2,z'
'-x+1/2,-y+1/2,-z'
'-x+1/2,y+1/2,-z'
'x+1/2,-y+1/2,z'
loop_
_atom_site_label
_atom_site_fract_x
_atom_site_fract_y
_atom_site_fract_z
Cr1 0.244 0.000 0.246
Mo1 0.000 0.000 0.500
Pt1 0.000 0.500 0.000
```

=====

No. 4
Entry from Alexandria via LeMat-Bulk: an optimized crystal structure of La4PrN5 (PBE-GGA).

Computed properties:
Its total energy is -158.45 eV for the cell shown. As for the density of states at the Fermi level: 0.11 states/eV per atom.

The structure in CIF format:
```
data_La4PrN5
_space_group_name_H-M_alt 'I m m m'
_space_group_IT_number 71
_space_group_name_Hall '-I 2 2'
_cell_length_a 3.743
_cell_length_b 5.281
_cell_length_c 18.722
_cell_angle_alpha 90.00
_cell_angle_beta 90.00
_cell_angle_gamma 90.00
loop_
_atom_site_label
_atom_site_fract_x
_atom_site_fract_y
_atom_site_fract_z
La1 0.000 0.000 0.099
La2 0.000 0.000 0.300
Pr1 0.000 0.000 0.500
N1 0.000 0.500 0.099
N2 0.000 0.500 0.299
N3 0.000 0.500 0.500
```

=====

No. 5
Entry from Alexandria via LeMat-Bulk: an optimized crystal structure of Ba2LiGa4Au3 (PBE-GGA).

Computed properties:
Its total energy is -32.89 eV for the cell shown. As for the density of states at the Fermi level: 0.63 states/eV per atom. The value obtained for the formation energy is -520 meV/atom.

The structure in CIF format:
```
data_Ba2LiGa4Au3
_space_group_name_H-M_alt 'P -4 m 2'
_space_group_IT_number 115
_cell_length_a 4.699
_cell_length_b 4.699
_cell_length_c 10.638
_cell_angle_alpha 90.00
_cell_angle_beta 90.00
_cell_angle_gamma 90.00
loop_
_space_group_symop_operation_xyz
'x,y,z'
'y,-x,-z'
'-x,-y,z'
'-y,x,-z'
'-x,y,z'
'-y,-x,-z'
'x,-y,z'
'y,x,-z'
loop_
_atom_site_label
_atom_site_fract_x
_atom_site_fract_y
_atom_site_fract_z
Ba1 0.000 0.500 0.248
Li1 0.000 0.000 0.500
Ga1 0.000 0.000 0.000
Ga2 0.000 0.500 0.621
Ga3 0.500 0.500 0.000
Au1 0.000 0.500 0.871
Au2 0.500 0.500 0.500
```

=====

No. 6
Entry from Alexandria via LeMat-Bulk: an optimized crystal structure of HgMo2W (PBE-GGA).

Computed properties:
Its total energy is -65.51 eV for the cell shown. As for the density of states at the Fermi level: 0.69 states/eV per atom. The value obtained for the formation energy is 541 meV/atom.

The structure in CIF format:
```
data_HgMo2W
_space_group_name_H-M_alt 'C m m m'
_space_group_IT_number 65
_space_group_name_Hall '-C 2 2'
_cell_length_a 5.754
_cell_length_b 8.450
_cell_length_c 2.775
_cell_angle_alpha 90.00
_cell_angle_beta 90.00
_cell_angle_gamma 90.00
loop_
_atom_site_label
_atom_site_fract_x
_atom_site_fract_y
_atom_site_fract_z
Hg1 0.000 0.000 0.000
Mo1 0.250 0.250 0.500
W1 0.000 0.500 0.000
```